No. 1
{
  "formula": "ZrInPb",
  "functional": "GGA-PBE",
  "state": "optimized geometry",
  "sg": "No. 216",
  "e_above_lowest_polymorph_mev_per_atom": 563.3,
  "formation_enthalpy_0k_ev_per_atom": 0.47,
  "crystal_system": "cubic",
  "lattice": [[0.000, 3.525, 3.525], [3.525, 0.000, 3.525], [3.525, 3.525, 0.000]],
  "species": ["Zr", "In", "Pb"],
  "fractional_positions": [[0.000, 0.000, 0.000], [0.250, 0.250, 0.250], [0.500, 0.500, 0.500]]
}

---

No. 2
{
  "formula": "Rb2NbPdBr6",
  "functional": "GGA-PBE",
  "state": "optimized geometry",
  "raw_formation_energy_ev_per_atom": -0.975,
  "sg": "No. 139",
  "crystal_system": "tetragonal",
  "lattice": [[-3.769, 3.769, 5.688], [3.769, -3.769, 5.688], [3.769, 3.769, -5.688]],
  "species": ["Rb", "Rb", "Nb", "Pd", "Br", "Br", "Br", "Br", "Br", "Br"],
  "fractional_positions": [[0.250, 0.750, 0.500], [0.750, 0.250, 0.500], [0.000, 0.000, 0.000], [0.500, 0.500, 0.000], [0.233, 0.233, 0.000], [0.247, 0.247, 0.493], [0.247, 0.753, 0.000], [0.753, 0.247, 0.000], [0.753, 0.753, 0.507], [0.767, 0.767, 0.000]]
}

---

No. 3
{
  "formula": "RbNa3Bi3",
  "functional": "GGA-PBE",
  "state": "optimized geometry",
  "sg": "No. 223",
  "formation_enthalpy_0k_ev_per_atom": 0.16,
  "crystal_system": "cubic",
  "lattice": [[8.667, 0.000, 0.000], [0.000, 8.667, 0.000], [0.000, 0.000, 8.667]],
  "species": ["Rb", "Rb", "Na", "Na", "Na", "Na", "Na", "Na", "Bi", "Bi", "Bi", "Bi", "Bi", "Bi"],
  "fractional_positions": [[0.000, 0.000, 0.000], [0.500, 0.500, 0.500], [0.000, 0.250, 0.500], [0.000, 0.750, 0.500], [0.250, 0.500, 0.000], [0.500, 0.000, 0.250], [0.500, 0.000, 0.750], [0.750, 0.500, 0.000], [0.000, 0.500, 0.250], [0.000, 0.500, 0.750], [0.250, 0.000, 0.500], [0.500, 0.250, 0.000], [0.500, 0.750, 0.000], [0.750, 0.000, 0.500]]
}

---

No. 4
{
  "formula": "Nd4Te3Pd",
  "functional": "GGA-PBE",
  "state": "optimized geometry",
  "raw_formation_energy_ev_per_atom": -1.239,
  "sg": "No. 65",
  "crystal_system": "orthorhombic",
  "lattice": [[4.513, -6.321, 0.000], [4.513, 6.321, 0.000], [0.000, 0.000, 4.361]],
  "species": ["Nd", "Nd", "Nd", "Nd", "Te", "Te", "Te", "Pd"],
  "fractional_positions": [[0.225, 0.225, 0.500], [0.245, 0.755, 0.000], [0.755, 0.245, 0.000], [0.775, 0.775, 0.500], [0.000, 0.500, 0.500], [0.500, 0.000, 0.500], [0.500, 0.500, 0.000], [0.000, 0.000, 0.000]]
}

---

No. 5
{
  "formula": "Ta4TiW",
  "functional": "GGA-PBE",
  "state": "optimized geometry",
  "sg": "No. 12",
  "e_above_lowest_polymorph_mev_per_atom": 0.0,
  "formation_enthalpy_0k_ev_per_atom": -0.01,
  "crystal_system": "monoclinic",
  "lattice": [[4.904, -2.322, 0.000], [4.904, 2.322, 0.000], [-3.251, 0.000, 4.655]],
  "species": ["Ta", "Ta", "Ta", "Ta", "Ti", "W"],
  "fractional_positions": [[0.160, 0.160, 0.321], [0.176, 0.176, 0.834], [0.824, 0.824, 0.166], [0.840, 0.840, 0.679], [0.500, 0.500, 0.500], [0.500, 0.500, 0.000]]
}

---

No. 6
{
  "formula": "AlPSCl2",
  "functional": "GGA-PBE",
  "state": "optimized geometry",
  "raw_formation_energy_ev_per_atom": 0.478,
  "sg": "No. 123",
  "e_above_lowest_polymorph_mev_per_atom": 495.2,
  "crystal_system": "tetragonal",
  "lattice": [[5.743, 0.000, 0.000], [0.000, 5.743, 0.000], [0.000, 0.000, 4.130]],
  "species": ["Al", "P", "S", "Cl", "Cl"],
  "fractional_positions": [[0.000, 0.000, 0.000], [0.500, 0.500, 0.000], [0.500, 0.500, 0.500], [0.000, 0.500, 0.500], [0.500, 0.000, 0.500]]
}

---

Repeat the sixth record exactly.
{
  "formula": "AlPSCl2",
  "functional": "GGA-PBE",
  "state": "optimized geometry",
  "raw_formation_energy_ev_per_atom": 0.478,
  "sg": "No. 123",
  "e_above_lowest_polymorph_mev_per_atom": 495.2,
  "crystal_system": "tetragonal",
  "lattice": [[5.743, 0.000, 0.000], [0.000, 5.743, 0.000], [0.000, 0.000, 4.130]],
  "species": ["Al", "P", "S", "Cl", "Cl"],
  "fractional_positions": [[0.000, 0.000, 0.000], [0.500, 0.500, 0.000], [0.500, 0.500, 0.500], [0.000, 0.500, 0.500], [0.500, 0.000, 0.500]]
}

---

Number 3 is which compound? RbNa3Bi3